No. 1
The following is a DFT calculation (GGA-PBE) of an optimized crystal structure of LiCr2Pt.

Cell and atoms, written as CIF:
```
data_LiCr2Pt
_chemical_formula_sum 'Li1 Cr2 Pt1'
_cell_length_a 2.5701
_cell_length_b 2.5701
_cell_length_c 8.2957
_cell_angle_alpha 90.00
_cell_angle_beta 90.00
_cell_angle_gamma 90.07
_symmetry_space_group_name_H-M 'P 1'
_symmetry_Int_Tables_number 1
loop_
_symmetry_equiv_pos_as_xyz
'x,y,z'
loop_
_atom_site_label
_atom_site_type_symbol
_atom_site_fract_x
_atom_site_fract_y
_atom_site_fract_z
Cr1 Cr 0.0000 0.0000 0.9896
Cr2 Cr 0.0000 0.0000 0.5104
Li1 Li 0.5000 0.5000 0.2500
Pt1 Pt 0.5000 0.5000 0.7500
```

- SG: P4/mmm
- Total magnetization: 0.00 μB per formula unit
- Electronic total energy: -25.765 eV per cell
- Energy of formation: 0.3591 eV per atom



No. 2
The following is a DFT calculation (GGA-PBE) of an optimized crystal structure of LiCr2Pt.

Cell and atoms, written as CIF:
```
data_LiCr2Pt
_chemical_formula_sum 'Li2 Cr4 Pt2'
_cell_length_a 6.9287
_cell_length_b 6.9287
_cell_length_c 5.4260
_cell_angle_alpha 50.32
_cell_angle_beta 50.32
_cell_angle_gamma 90.00
_symmetry_space_group_name_H-M 'P 1'
_symmetry_Int_Tables_number 1
loop_
_symmetry_equiv_pos_as_xyz
'x,y,z'
loop_
_atom_site_label
_atom_site_type_symbol
_atom_site_fract_x
_atom_site_fract_y
_atom_site_fract_z
Cr1 Cr 0.6409 0.1250 0.2500
Cr2 Cr 0.1091 0.6250 0.2500
Cr3 Cr 0.3750 0.3591 0.7500
Cr4 Cr 0.8750 0.8909 0.7500
Pt1 Pt 0.0000 0.0000 0.0000
Pt2 Pt 0.7500 0.2500 0.5000
Li1 Li 0.5000 0.5000 0.0000
Li2 Li 0.2500 0.7500 0.5000
```

- SG: I-42d
- Total magnetization: 0.00 μB per formula unit
- Electronic total energy: -49.786 eV per cell
- Energy of formation: 0.5770 eV per atom